# BeAlP3

A relaxed BeAlP3 crystal (GGA-PBE, the Alexandria database).

The structure belongs to space group Pm-3m (No. 221); the cell edges are 4.261, 4.261 and 4.261 Å and the angles 90.00°, 90.00° and 90.00°. The distinct sites, in fractional coordinates, are Be at (0.000, 0.000, 0.000), Al at (0.500, 0.500, 0.500) and P at (0.000, 0.000, 0.500).

The value obtained for the formation energy is 636 meV/atom.


# BeAlP2

A relaxed BeAlP2 crystal (GGA-PBE, the Alexandria database).

The structure belongs to space group P4/mmm (No. 123); the cell edges are 3.205, 3.205 and 5.171 Å and the angles 90.00°, 90.00° and 90.00°. The distinct sites, in fractional coordinates, are Be at (0.000, 0.000, 0.000), Al at (0.000, 0.000, 0.500) and P at (0.500, 0.500, 0.216).

The value obtained for the formation energy is 259 meV/atom.


# BeAl2P

A relaxed BeAl2P crystal (GGA-PBE, the Alexandria database).

The structure belongs to space group I-4m2 (No. 119); the cell edges are 3.517, 3.517 and 9.238 Å and the angles 90.00°, 90.00° and 90.00°. The distinct sites, in fractional coordinates, are Be at (0.000, 0.000, 0.000), Al at (0.000, 0.000, 0.500), Al at (0.000, 0.500, 0.250) and P at (0.000, 0.500, 0.750).

The value obtained for the formation energy is 256 meV/atom.


# BeAlP

A relaxed BeAlP crystal (GGA-PBE, the Alexandria database).

The structure belongs to space group P-3m1 (No. 164); the cell edges are 3.5319, 3.5319 and 8.2878 Å and the angles 90.00°, 90.00° and 120.00°. The distinct sites, in fractional coordinates, are Be at (0.3333, 0.6667, 0.0806), Al at (0.3333, 0.6667, 0.3866) and P at (0.3333, 0.6667, 0.8151).

The value obtained for the formation energy is -128 meV/atom.


# BeAl2P

A relaxed BeAl2P crystal (GGA-PBE, the Alexandria database).

The structure belongs to space group C2/m (No. 12); the cell edges are 5.095, 6.798 and 3.267 Å and the angles 90.00°, 90.44° and 90.00°. The distinct sites, in fractional coordinates, are Be at (0.000, 0.000, 0.000), Al at (0.250, 0.250, 0.500) and P at (0.000, 0.500, 0.000).

The value obtained for the formation energy is 216 meV/atom.


# Be2Al4P

A relaxed Be2Al4P crystal (GGA-PBE, the Alexandria database).

The structure belongs to space group I4/mmm (No. 139); the cell edges are 4.771, 4.771 and 11.253 Å and the angles 90.00°, 90.00° and 90.00°. The distinct sites, in fractional coordinates, are Be at (0.000, 0.000, 0.089), Al at (0.000, 0.000, 0.291), Al at (0.000, 0.500, 0.000) and P at (0.000, 0.000, 0.500).

The value obtained for the formation energy is 548 meV/atom.


# Be3AlP

A relaxed Be3AlP crystal (GGA-PBE, the Alexandria database).

The structure belongs to space group Pm-3m (No. 221); the cell edges are 4.135, 4.135 and 4.135 Å and the angles 90.00°, 90.00° and 90.00°. The distinct sites, in fractional coordinates, are Be at (0.000, 0.000, 0.500), Al at (0.500, 0.500, 0.500) and P at (0.000, 0.000, 0.000).

The value obtained for the formation energy is 656 meV/atom.


# BeAl2P

A relaxed BeAl2P crystal (GGA-PBE, the Alexandria database).

The structure belongs to space group F-43m (No. 216); the cell edges are 6.132, 6.132 and 6.132 Å and the angles 90.00°, 90.00° and 90.00°. The distinct sites, in fractional coordinates, are Be at (0.000, 0.000, 0.000), Al at (0.000, 0.000, 0.500), Al at (0.250, 0.250, 0.250) and P at (0.250, 0.250, 0.750).

The value obtained for the formation energy is 405 meV/atom.


# BeAlP2

A relaxed BeAlP2 crystal (GGA-PBE, the Alexandria database).

The structure belongs to space group C2/m (No. 12); the cell edges are 5.194, 6.689 and 3.601 Å and the angles 90.00°, 113.37° and 90.00°. The distinct sites, in fractional coordinates, are Be at (0.000, 0.000, 0.000), Al at (0.000, 0.500, 0.000) and P at (0.250, 0.250, 0.500).

The value obtained for the formation energy is 194 meV/atom.


# BeAlP

A relaxed BeAlP crystal (GGA-PBE, the Alexandria database).

The structure belongs to space group Fmm2 (No. 42); the cell edges are 3.533, 4.482 and 10.243 Å and the angles 90.00°, 90.00° and 90.00°. The distinct sites, in fractional coordinates, are Be at (0.000, 0.000, 0.000), Al at (0.000, 0.000, 0.673) and P at (0.000, 0.000, 0.375).

The value obtained for the formation energy is 275 meV/atom.


# BeAlP2

A relaxed BeAlP2 crystal (GGA-PBE, the Alexandria database).

The structure belongs to space group P4/mmm (No. 123); the cell edges are 3.455, 3.455 and 4.878 Å and the angles 90.00°, 90.00° and 90.00°. The distinct sites, in fractional coordinates, are Be at (0.000, 0.000, 0.000), Al at (0.500, 0.500, 0.500), P at (0.000, 0.000, 0.500) and P at (0.500, 0.500, 0.000).

The value obtained for the formation energy is -17 meV/atom.


# BeAlP2

A relaxed BeAlP2 crystal (GGA-PBE, the Alexandria database).

The structure belongs to space group Immm (No. 71); the cell edges are 3.398, 4.969 and 6.707 Å and the angles 90.00°, 90.00° and 90.00°. The distinct sites, in fractional coordinates, are Be at (0.000, 0.000, 0.000), Al at (0.000, 0.000, 0.500) and P at (0.000, 0.500, 0.285).

The value obtained for the formation energy is 229 meV/atom.